Below is an optimized crystal structure of AgIrAu, with properties calculated at the GGA-PBE level.

Summary:
- Total magnetization: 0.779 μB per formula unit
- Energy above the lowest structure with this stoichiometry: 0.0 kJ/mol of atoms
- Calculated total energy: -4.162 eV/atom
- Formation energy: 0.820 eV/atom

a = 6.2108 Å, b = 6.2108 Å, c = 6.2108 Å
α = 90.00°, β = 90.00°, γ = 90.00°
Space group F-43m (No. 216)
One atom of each set of equivalent atoms:
Ag 0.0000 0.0000 0.0000 [4 per cell]
Ir 0.2500 0.2500 0.2500 [4 per cell]
Au 0.0000 0.0000 0.5000 [4 per cell]